# Re2PAu

A geometry-optimized Re2PAu structure (PBE, the Alexandria database). Values from VASP.

Results
**SG**: Imm2, No. 44
**Formation energy from the elements**: 432 meV per atom
**Total magnetic moment**: 0.000 μB per atom
**Crystal system**: orthorhombic

```
&SYSTEM
  ibrav = 0, nat = 4, ntyp = 3
/
ATOMIC_SPECIES
Au 196.97 Au.upf
Re 186.21 Re.upf
P 30.97 P.upf
ATOMIC_POSITIONS crystal
Au 0.528 0.528 0.000
Re 0.233 0.733 0.500
Re 0.968 0.968 0.000
P 0.771 0.271 0.500
CELL_PARAMETERS angstrom
-1.502 2.151 4.649
1.502 -2.151 4.649
1.502 2.151 -4.649
```